Compound: Nb6Al3N
Source: Alexandria via LeMat-Bulk
Functional: PBE
Structure: optimized geometry

Computed properties:
Raw formation energy, eV/atom: -0.18
Magnetization, μB per cell: 0.0
E_tot, eV/atom: -8.18

a b c (Å): 5.6115 5.6115 7.7876
angles (deg): 120.49 120.49 58.14
Sites, in units of the cell vectors:
Nb  0.1555  0.6701  0.7360
Nb  0.2515  0.2515  0.0775
Nb  0.3299  0.8445  0.2640
Nb  0.6701  0.1555  0.7360
Nb  0.7485  0.7485  0.9225
Nb  0.8445  0.3299  0.2640
Al  0.1438  0.1438  0.6702
Al  0.5000  0.5000  0.5000
Al  0.8562  0.8562  0.3298
N  0.0000  0.0000  0.0000



Compound: NbAlN3
Source: Alexandria via LeMat-Bulk
Functional: PBE
Structure: optimized geometry

Computed properties:
Raw formation energy, eV/atom: 0.64
Magnetization, μB per cell: 0.8
E_tot, eV/atom: -7.12

a b c (Å): 4.0502 4.0502 4.0502
angles (deg): 90.00 90.00 90.00
Sites, in units of the cell vectors:
Nb  0.0000  0.0000  0.0000
Al  0.5000  0.5000  0.5000
N  0.0000  0.0000  0.5000
N  0.0000  0.5000  0.0000
N  0.5000  0.0000  0.0000



Compound: NbAlNO2
Source: Alexandria via LeMat-Bulk
Functional: PBE
Structure: optimized geometry

Computed properties:
Raw formation energy, eV/atom: -1.03
Magnetization, μB per cell: 0.0
E_tot, eV/atom: -7.44

a b c (Å): 3.9437 3.9437 4.2477
angles (deg): 90.00 90.00 90.00
Sites, in units of the cell vectors:
Nb  0.0000  0.0000  0.0000
Al  0.5000  0.5000  0.5000
N  0.0000  0.0000  0.5000
O  0.0000  0.5000  0.0000
O  0.5000  0.0000  0.0000



Compound: NbAlNO2
Source: Alexandria via LeMat-Bulk
Functional: PBE
Structure: optimized geometry

Computed properties:
Raw formation energy, eV/atom: -1.26
Magnetization, μB per cell: 0.6
E_tot, eV/atom: -7.67

a b c (Å): 3.5332 3.5332 3.9047
angles (deg): 90.00 90.00 90.00
Sites, in units of the cell vectors:
Nb  0.0000  0.0000  0.0000
Al  0.5000  0.5000  0.5000
N  0.5000  0.5000  0.0000
O  0.0000  0.5000  0.5000
O  0.5000  0.0000  0.5000



Compound: NbAl2OsN
Source: Alexandria via LeMat-Bulk
Functional: PBE
Structure: optimized geometry

Computed properties:
Raw formation energy, eV/atom: 0.02
Magnetization, μB per cell: 0.0
E_tot, eV/atom: -7.40
Distance to the lowest polymorph of the same formula, kJ/mol of formula units: 0

a b c (Å): 4.2531 4.2531 3.8399
angles (deg): 90.00 90.00 90.00
Sites, in units of the cell vectors:
Nb  0.0000  0.0000  0.0000
Al  0.0000  0.5000  0.5000
Al  0.5000  0.0000  0.5000
Os  0.5000  0.5000  0.0000
N  0.5000  0.5000  0.5000



Compound: NbAl2OsN
Source: Alexandria via LeMat-Bulk
Functional: PBE
Structure: optimized geometry

Computed properties:
Raw formation energy, eV/atom: 1.35
Magnetization, μB per cell: 0.0
E_tot, eV/atom: -6.07
Distance to the lowest polymorph of the same formula, kJ/mol of formula units: 644

a b c (Å): 4.6241 4.6241 4.8519
angles (deg): 90.00 90.00 90.00
Sites, in units of the cell vectors:
Nb  0.0000  0.0000  0.0000
Al  0.0000  0.5000  0.5000
Al  0.5000  0.0000  0.5000
Os  0.0000  0.0000  0.5000
N  0.5000  0.5000  0.0000